Record 1
Material: Sm3Dy4Ir4
Method: DFT, GGA-PBE
State: optimized geometry

Its space group is Immm (71).

Cell: 3.9174 8.6707 9.2993 Å, 117.79 102.16 90.00°
Last column: nearest neighbours and their distance in Å.
Atoms (fractional coordinates):
Ir  0.5000  0.7838  0.0000  2 Dy 2.80
Ir  0.2458  0.7458  0.4916  6 Dy 2.85-3.02, 2 Sm 3.14
Ir  0.7542  0.2542  0.5084  6 Dy 2.85-3.02, 2 Sm 3.14
Ir  0.5000  0.2162  0.0000  2 Dy 2.80
Dy  0.6678  0.4770  0.3355  4 Ir 2.80-3.02
Dy  0.3322  0.1415  0.6645  4 Ir 2.80-3.02
Dy  0.6678  0.8585  0.3355  4 Ir 2.80-3.02
Dy  0.3322  0.5230  0.6645  4 Ir 2.80-3.02
Sm  0.1010  0.1010  0.2019  6 Ir 3.14-3.15, 1 Sm 3.23, 4 Dy 3.49
Sm  0.0000  0.5000  0.0000  4 Ir 3.15
Sm  0.8990  0.8990  0.7981  6 Ir 3.14-3.15, 1 Sm 3.23, 4 Dy 3.49

=====

Record 2
Material: SmDy3Ir8
Method: DFT, GGA-PBE
State: optimized geometry

Its space group is P3m1 (156).

Cell: 5.3753 5.3753 8.7355 Å, 90.00 90.00 120.00°
Last column: nearest neighbours and their distance in Å.
Atoms (fractional coordinates):
Sm  0.0000  0.0000  0.5676  12 Ir 3.13-3.17, 4 Dy 3.20-3.32
Ir  0.9936  0.4968  0.7514  6 Ir 2.64-2.74
Ir  0.1636  0.3273  0.2488  6 Ir 2.64-2.74
Ir  0.3333  0.6667  0.9998  6 Ir 2.68-2.69
Ir  0.1636  0.8364  0.2488  6 Ir 2.64-2.74
Ir  0.3333  0.6667  0.4996  6 Ir 2.70-2.71
Ir  0.5032  0.4968  0.7514  6 Ir 2.64-2.74
Ir  0.5032  0.0064  0.7514  6 Ir 2.64-2.74
Ir  0.6727  0.8364  0.2488  6 Ir 2.64-2.74
Dy  0.6667  0.3333  0.0670  12 Ir 3.12-3.16, 4 Dy 3.19-3.32
Dy  0.6667  0.3333  0.4318  12 Ir 3.13-3.18, 1 Dy 3.19, 3 Sm 3.32
Dy  0.0000  0.0000  0.9335  12 Ir 3.12-3.16, 1 Sm 3.20, 3 Dy 3.32

=====

Values of calculated formation energy, in order: -637; -791, all in meV/atom.
Values of raw total energy, in order: -6.820; -8.242, all in eV/atom.